# GGA-PBE NpCoAu, relaxed
data_NpCoAu
_chemical_formula_sum 'Np4 Co4 Au4'
_cell_length_a 6.232
_cell_length_b 6.232
_cell_length_c 6.232
_cell_angle_alpha 90.00
_cell_angle_beta 90.00
_cell_angle_gamma 90.00
_symmetry_space_group_name_H-M 'F -4 3 m'
_symmetry_Int_Tables_number 216
_symmetry_space_group_name_Hall 'F -4 2 3'
loop_
_atom_site_label
_atom_site_type_symbol
_atom_site_fract_x
_atom_site_fract_y
_atom_site_fract_z
Np1 Np 0.000 0.000 0.000
Co1 Co 0.250 0.250 0.750
Au1 Au 0.000 0.000 0.500
# Crystal system: cubic
# Final energy in eV per atom: -7.61